A geometry-optimized Rb3PbO4 structure, computed with PBE-GGA.

Properties
The space group is Imm2, No. 44. The value obtained for the formation energy (no corrections) is -91.6 kJ per mole of atoms.

Unit cell a=6.7179 b=6.7179 c=6.7179 alpha=94.01 beta=116.72 gamma=118.72
Last column: magnetic moment on the atom in μB.
Positions (direct):
Pb1 0.0133 0.5000 0.5133  -0.02
O1 0.1047 0.7547 0.3500  0.24
O2 0.1597 0.6981 0.8578  0.19
O3 0.5953 0.2453 0.3500  0.24
O4 0.1597 0.3019 0.4616  0.19
Rb1 0.5287 0.2268 0.7555  0.00
Rb2 0.0608 0.0000 0.0608  0.00
Rb3 0.5287 0.7732 0.3019  0.00